Material: Zr3Pa5H12
Method: DFT, GGA-PBE
State: relaxed

```
data_Zr3Pa5H12
_space_group_name_H-M_alt 'I a -3 d'
_space_group_IT_number 230
_space_group_name_Hall '-I 4bd 2c 3'
_cell_length_a 12.499
_cell_length_b 12.499
_cell_length_c 12.499
_cell_angle_alpha 90.00
_cell_angle_beta 90.00
_cell_angle_gamma 90.00
loop_
_atom_site_label
_atom_site_fract_x
_atom_site_fract_y
_atom_site_fract_z
Zr1 0.000 0.250 0.125
Pa1 0.000 0.000 0.000
Pa2 0.000 0.250 0.375
H1 0.007 0.078 0.156
```

## Properties
Size of the total moment   0.000 μB/atom
Electronic total energy   -941.053 eV for the cell shown
Volume   244 Å³/f.u.